DFT (PBE) results for crystalline NdGa6Cu4 at its relaxed geometry.

Computed properties:
E_tot (eV/atom): -3.835
Spin magnetization (Bohr magnetons per cell): 0.00
Energy of formation (eV per atom): -0.261

a = 7.1123 Å, b = 7.1123 Å, c = 4.1052 Å
α = 90.00°, β = 90.00°, γ = 120.00°
Last column: nearest neighbours and their distance in Å.
Space group P-6m2 (No. 187)
Inequivalent atoms, fractional coordinates:
Nd  0.0000  0.0000  0.0000  6 Ga 3.19, 6 Cu 3.31
Ga  0.1985  0.3971  0.5000  4 Cu 2.52-2.64
Ga  0.5355  0.0711  0.0000  5 Cu 2.49-2.58
Cu  0.3333  0.6667  0.0000  9 Ga 2.49-2.64
Cu  0.4207  0.2104  0.5000  6 Ga 2.52-2.58, 2 Cu 2.62